# 1
LiSc2Re | PBE-GGA | optimized geometry

```
4
Lattice="5.7694 7.1862 5.7737 4.6701 5.6827 8.0100 7.1075 4.7751 6.7041" Properties=species:S:1:pos:R:3 pbc="T T T"
Sc 16.1186 16.2078 18.8200
Li 8.7734 8.8220 10.2439
Sc 1.4283 1.4362 1.6677
Re 0.0000 0.0000 0.0000
```

Output
- ΔE_f (eV/atom) = 0.522
- D(E_F) (states/eV/atom) = 0.847

---

# 2
RbZr2ScS | PBE-GGA | optimized geometry

```
5
Lattice="5.2069 0.0000 0.0000 0.0000 4.7721 0.0000 0.0000 0.0000 5.2069" Properties=species:S:1:pos:R:3 pbc="T T T"
Zr 2.6035 0.0000 0.0000
S 2.6035 2.3861 2.6035
Rb 0.0000 0.0000 0.0000
Zr 0.0000 0.0000 2.6035
Sc 0.0000 2.3861 0.0000
```

Output
- uncorrected formation energy (meV/atom) = 1985
- D(E_F) (states/eV/atom) = 2.082

---

# 3
Ac2HgRuO5 | PBE-GGA | optimized geometry

```
18
Lattice="-0.5340 2.2166 -5.2527 -6.5535 -3.4265 -0.7798 -3.4450 5.9389 2.8564" Properties=species:S:1:pos:R:3 pbc="T T T"
Ac -7.9754 2.3612 -1.3140
O -7.4297 0.8935 -3.5537
O -3.0221 0.0076 -1.2459
O -5.2662 2.3645 -1.5881
Ac -5.3693 -0.1462 -2.6371
O -3.1028 3.8355 0.3776
Ac -2.5571 2.3678 -1.8621
Ru -3.2768 -1.7133 -0.3899
O -3.3705 4.9468 -2.2559
Hg -4.9993 1.2562 1.0383
O -0.2670 1.1083 -2.6264
O -3.2899 1.1189 -3.8795
Ru -1.7225 2.9694 1.4282
O -7.1620 -0.2178 -0.9202
Hg 0.0000 0.0000 0.0000
O -7.2426 3.6101 0.7033
O -7.5103 4.7214 -1.9302
Ac -5.1632 4.8752 -0.5390
```

Output
- uncorrected formation energy (meV/atom) = -1971
- D(E_F) (states/eV/atom) = 0.298

---

# 4
CaBrN2F | PBE-GGA | optimized geometry

```
5
Lattice="5.1194 0.0000 0.0000 0.0000 5.1194 0.0000 0.0000 0.0000 4.2244" Properties=species:S:1:pos:R:3 pbc="T T T"
Ca 0.0000 0.0000 0.0000
Br 2.5597 2.5597 2.1122
N 0.0000 2.5597 0.0000
N 2.5597 0.0000 0.0000
F 0.0000 0.0000 2.1122
```

Output
- energy above the most stable polymorph in this dataset (meV/atom) = 52
- uncorrected formation energy (meV/atom) = 529
- D(E_F) (states/eV/atom) = 1.163

---

# 5
SbAsIr2 | PBE-GGA | optimized geometry

```
4
Lattice="4.7310 -0.0040 0.0000 0.7227 4.6755 0.0000 -2.7269 -2.3358 3.0807" Properties=species:S:1:pos:R:3 pbc="T T T"
Sb 0.3614 2.3377 1.5404
Ir 0.0000 0.0000 0.0000
Ir 2.7269 2.3358 0.0000
As 2.3655 -0.0020 1.5404
```

Output
- energy above the most stable polymorph in this dataset (meV/atom) = 439
- uncorrected formation energy (meV/atom) = 281
- D(E_F) (states/eV/atom) = 0.960

---

# 6
Hf2ZrC3 | PBE-GGA | optimized geometry

```
12
Lattice="4.6691 0.0000 0.0000 0.0000 6.7005 -0.0391 0.0000 -3.3168 5.8222" Properties=species:S:1:pos:R:3 pbc="T T T"
C 2.2867 2.8186 0.9506
C 4.6213 3.9359 2.8602
Hf 4.6507 2.8050 0.9508
C 2.2900 2.8088 4.8005
C 4.6213 0.5652 4.8325
C 4.6246 0.5749 0.9826
Hf 2.3162 0.5788 4.8323
Hf 4.6507 -0.5453 2.9111
Zr 2.3154 0.5678 0.9703
Hf 2.3162 3.9291 2.8720
Zr 4.6500 2.8160 4.8127
C 2.2867 -0.5521 2.9229
```

Output
- energy above the most stable polymorph in this dataset (meV/atom) = 266
- ΔE_f (eV/atom) = -0.630
- D(E_F) (states/eV/atom) = 0.095

---

- Among the records above, which one has the lowest D(E_F)?
  Hf2ZrC3

---

- Which value of D(E_F) does entry 5 give?
  0.960 states/eV/atom

---

- What is the D(E_F) in the fifth record?
  0.960 states/eV/atom

---

What did the second record say?
RbZr2ScS | PBE-GGA | optimized geometry

```
5
Lattice="5.2069 0.0000 0.0000 0.0000 4.7721 0.0000 0.0000 0.0000 5.2069" Properties=species:S:1:pos:R:3 pbc="T T T"
Zr 2.6035 0.0000 0.0000
S 2.6035 2.3861 2.6035
Rb 0.0000 0.0000 0.0000
Zr 0.0000 0.0000 2.6035
Sc 0.0000 2.3861 0.0000
```

Output
- uncorrected formation energy (meV/atom) = 1985
- D(E_F) (states/eV/atom) = 2.082